DFT (PBE-GGA) results for an optimized crystal structure of SrPmAu2.

a b c (Å): 7.4982 7.4982 7.4982
angles (deg): 90.00 90.00 90.00
Space group Fm-3m (No. 225)
Symmetry-distinct sites (fractional):
1 Sr 0.0000 0.0000 0.0000
2 Pm 0.0000 0.0000 0.5000
3 Au 0.2500 0.2500 0.2500

Results
Total energy, eV per atom: -3.98
D(E_F), states/eV/cell: 11.56
E_form, eV/atom: -0.729